No. 1
Computed, not measured: an optimized crystal structure of NaY2Cd2 at the PBE level of DFT.

Lattice parameters (Å, degrees): 4.2472 4.2472 16.9305 90.00 90.00 90.00
With the nearest neighbours (Å) after each atom.
Space group I4/mmm (No. 139)
Unique sites:
Na 0.0000 0.0000 0.0000 x2  8 Y 3.51
Y 0.0000 0.0000 0.3929 x4  4 Cd 3.22, 4 Na 3.51
Cd 0.0000 0.5000 0.2500 x4  4 Cd 3.00, 4 Y 3.22

The calculation puts the energy relative to the lowest polymorph listed for this composition at 164.2 kJ/mol of formula units.

No. 2
Computed, not measured: an optimized crystal structure of NaYCd5 at the PBE level of DFT.

Lattice parameters (Å, degrees): 6.2876 8.9763 6.5216 90.00 90.00 90.00
With the nearest neighbours (Å) after each atom.
Space group Cmmm (No. 65)
Unique sites:
Na 0.0000 0.0000 0.0000 x2  10 Cd 3.14-3.21
Y 0.0000 0.5000 0.5000 x2  10 Cd 3.17-3.26
Cd 0.0000 0.5000 0.0000 x2  2 Na 3.14, 8 Cd 3.21, 2 Y 3.26
Cd 0.2500 0.2500 0.2551 x8  6 Cd 3.14-3.33, 2 Y 3.17, 2 Na 3.21

No. 3
Computed, not measured: an optimized crystal structure of NaYZnCd at the PBE level of DFT.

Lattice parameters (Å, degrees): 7.2322 7.2322 7.2322 90.00 90.00 90.00
With the nearest neighbours (Å) after each atom.
Space group F-43m (No. 216)
Unique sites:
Na 0.0000 0.0000 0.0000 x4  4 Cd 3.13, 4 Zn 3.13
Y 0.0000 0.0000 0.5000 x4  4 Cd 3.13, 4 Zn 3.13
Zn 0.2500 0.2500 0.7500 x4  4 Na 3.13, 4 Y 3.13
Cd 0.2500 0.2500 0.2500 x4  4 Na 3.13, 4 Y 3.13

No. 4
Computed, not measured: an optimized crystal structure of Na3Zn2Cd9 at the PBE level of DFT.

Lattice parameters (Å, degrees): 4.8918 10.3913 13.0463 90.00 90.00 90.00
With the nearest neighbours (Å) after each atom.
Space group Immm (No. 71)
Unique sites:
Na 0.0000 0.0000 0.0000 x2  12 Cd 3.29-3.57, 2 Na 3.65
Na 0.0000 0.0000 0.2798 x4  2 Zn 3.20, 10 Cd 3.42-3.48
Zn 0.0000 0.1352 0.5000 x4  1 Zn 2.81, 4 Cd 2.82-2.87
Cd 0.0000 0.2883 0.1491 x8  4 Cd 2.91-3.02, 2 Zn 3.22
Cd 0.0000 0.3606 0.3734 x8  1 Zn 2.87, 4 Cd 2.90-3.02
Cd 0.0000 0.5000 0.0000 x2  4 Zn 2.82, 4 Cd 2.94

No. 5
Computed, not measured: an optimized crystal structure of Na2Zn2Cd at the PBE level of DFT.

Lattice parameters (Å, degrees): 7.0409 7.0409 4.8364 90.00 90.00 90.00
With the nearest neighbours (Å) after each atom.
Space group P4/mbm (No. 127)
Unique sites:
Na 0.1761 0.3239 0.0000 x4  6 Zn 3.11-3.24
Zn 0.1272 0.6272 0.5000 x4  1 Zn 2.53, 2 Cd 2.77
Cd 0.0000 0.0000 0.5000 x2  4 Zn 2.77

The calculation puts the energy relative to the lowest polymorph listed for this composition at 0.0 kJ/mol of formula units.

No. 6
Computed, not measured: an optimized crystal structure of Na2ZnCd6 at the PBE level of DFT.

Lattice parameters (Å, degrees): 6.1049 6.1049 6.7541 90.00 90.00 120.00
With the nearest neighbours (Å) after each atom.
Space group P-3m1 (No. 164)
Unique sites:
Na 0.3333 0.6667 0.3845 x2  9 Cd 3.35-3.39, 3 Zn 3.61
Zn 0.0000 0.0000 0.5000 x1  6 Cd 2.82
Cd 0.1718 0.3436 0.8187 x6  1 Zn 2.82, 6 Cd 2.96-3.15

No. 7
Computed, not measured: an optimized crystal structure of NaZnCd2 at the PBE level of DFT.

Lattice parameters (Å, degrees): 4.4645 4.4645 4.4066 90.00 90.00 90.00
With the nearest neighbours (Å) after each atom.
Space group P4/mmm (No. 123)
Unique sites:
Na 0.0000 0.0000 0.0000 x1  8 Cd 3.14, 4 Zn 3.16
Zn 0.5000 0.5000 0.0000 x1  8 Cd 3.14, 4 Na 3.16
Cd 0.0000 0.5000 0.5000 x2  4 Zn 3.14, 4 Na 3.14, 4 Cd 3.16

No. 8
Computed, not measured: an optimized crystal structure of NaZnCd at the PBE level of DFT.

Lattice parameters (Å, degrees): 5.6584 5.9642 7.9228 90.00 90.00 90.00
With the nearest neighbours (Å) after each atom.
Space group Imma (No. 74)
Unique sites:
Na 0.0000 0.2500 0.1218 x4  6 Zn 3.27-3.45, 6 Cd 3.34-3.35, 4 Na 3.48-3.55
Zn 0.2500 0.2500 0.7500 x4  2 Zn 2.83, 4 Cd 2.85
Cd 0.0000 0.0000 0.5000 x4  4 Zn 2.85, 2 Cd 2.98

The calculation puts the energy relative to the lowest polymorph listed for this composition at 0.0 kJ/mol of formula units.

No. 9
Computed, not measured: an optimized crystal structure of Na8ZnCd2 at the PBE level of DFT.

Lattice parameters (Å, degrees): 8.8833 14.7457 5.7426 90.00 113.16 90.00
With the nearest neighbours (Å) after each atom.
Space group C2/m (No. 12)
Unique sites:
Na 0.0000 0.2137 0.0000 x4  1 Zn 3.15, 2 Cd 3.20
Na 0.1241 0.5000 0.8060 x4  1 Zn 3.08, 2 Cd 3.27, 1 Na 3.33
Na 0.2034 0.1166 0.6197 x8  2 Cd 3.17-3.29, 3 Na 3.32-3.49
Zn 0.0000 0.0000 0.0000 x2  4 Na 3.08-3.15
Cd 0.0000 0.3093 0.5000 x4  8 Na 3.17-3.29

No. 10
Computed, not measured: an optimized crystal structure of Na2ZnCd3 at the PBE level of DFT.

Lattice parameters (Å, degrees): 5.9329 5.9329 9.3353 90.00 90.00 120.00
With the nearest neighbours (Å) after each atom.
Space group P6_3/mmc (No. 194)
Unique sites:
Na 0.3333 0.6667 0.0617 x4  9 Cd 3.37-3.45, 3 Zn 3.47, 4 Na 3.51-3.61
Zn 0.0000 0.0000 0.0000 x2  6 Cd 2.91
Cd 0.1685 0.3370 0.7500 x6  2 Zn 2.91, 4 Cd 2.93-3.00

The calculation puts the energy relative to the lowest polymorph listed for this composition at 0.0 kJ/mol of formula units.

No. 11
Computed, not measured: an optimized crystal structure of NaZnCd at the PBE level of DFT.

Lattice parameters (Å, degrees): 3.2091 3.2091 27.1485 90.00 90.00 90.00
With the nearest neighbours (Å) after each atom.
Space group I4/mmm (No. 139)
Unique sites:
Na 0.0000 0.0000 0.0643 x4  5 Na 3.21-3.49, 4 Cd 3.29
Zn 0.0000 0.0000 0.2235 x4  4 Zn 2.69, 4 Cd 2.99
Cd 0.0000 0.0000 0.3480 x4  4 Zn 2.99, 4 Cd 3.21, 4 Na 3.29

The calculation puts the energy relative to the lowest polymorph listed for this composition at 24.8 kJ/mol of formula units.

No. 12
Computed, not measured: an optimized crystal structure of NaZn2Cd6 at the PBE level of DFT.

Lattice parameters (Å, degrees): 6.1079 6.1079 7.2547 90.00 90.00 120.00
With the nearest neighbours (Å) after each atom.
Space group P6/mmm (No. 191)
Unique sites:
Na 0.0000 0.0000 0.0000 x1  12 Cd 3.38
Zn 0.3333 0.6667 0.5000 x2  6 Cd 2.80
Cd 0.0000 0.5000 0.2009 x6  2 Zn 2.80, 5 Cd 2.92-3.05

The calculation puts the energy relative to the lowest polymorph listed for this composition at 56.4 kJ/mol of formula units.

No. 13
Computed, not measured: an optimized crystal structure of NaZn4Cd at the PBE level of DFT.

Lattice parameters (Å, degrees): 7.5097 7.5097 7.5097 90.00 90.00 90.00
With the nearest neighbours (Å) after each atom.
Space group F-43m (No. 216)
Unique sites:
Na 0.0000 0.0000 0.0000 x4  12 Zn 3.11, 4 Cd 3.25
Zn 0.1251 0.1251 0.3749 x16  6 Zn 2.65-2.66
Cd 0.2500 0.2500 0.7500 x4  12 Zn 3.11, 4 Na 3.25

No. 14
Computed, not measured: an optimized crystal structure of Na16ZnCd12 at the PBE level of DFT.

Lattice parameters (Å, degrees): 11.5924 16.4227 9.8845 90.00 123.45 90.00
With the nearest neighbours (Å) after each atom.
Space group Cm (No. 8)
Unique sites:
Na 0.0000 0.0000 0.0000 x2  4 Na 3.28-3.56, 1 Zn 3.33, 7 Cd 3.38-3.65
Na 0.0019 0.0000 0.3613 x2  12 Cd 3.42-3.59, 4 Na 3.56-3.75
Na 0.0204 0.3067 0.6670 x4  5 Cd 3.22-3.61, 5 Na 3.27-3.51, 1 Zn 3.51
Na 0.0500 0.3785 0.3788 x4  5 Cd 3.21-3.59, 4 Na 3.27-3.55, 1 Zn 3.38
Na 0.2055 0.2067 0.0407 x4  5 Cd 3.29-3.41, 6 Na 3.33-3.57
Na 0.3116 0.0000 0.0700 x2  7 Na 3.28-3.57, 5 Cd 3.31-3.44
Na 0.3239 0.3232 0.3668 x4  4 Na 3.33-3.58, 7 Cd 3.38-3.71
Na 0.3476 0.3390 0.7716 x4  5 Cd 3.21-3.42, 1 Zn 3.22, 5 Na 3.29-3.56
Na 0.3786 0.0000 0.6940 x2  1 Zn 3.26, 4 Cd 3.30-3.55, 2 Na 3.36
Na 0.4419 0.1514 0.9555 x4  5 Cd 3.30-3.50, 7 Na 3.36-3.68
Zn 0.1650 0.5000 0.7056 x2  3 Cd 2.85-2.91
Cd 0.0953 0.0916 0.7197 x4  3 Cd 2.92-3.07
Cd 0.1535 0.5000 0.1940 x2  3 Cd 3.01-3.02, 2 Na 3.34
Cd 0.1883 0.1843 0.5445 x4  3 Cd 2.92-3.03, 1 Na 3.21
Cd 0.2322 0.4077 0.9918 x4  1 Zn 2.91, 3 Cd 2.97-3.03, 1 Na 3.22
Cd 0.2606 0.0892 0.3413 x4  3 Cd 2.93-3.03, 1 Na 3.21
Cd 0.3186 0.5000 0.5586 x2  1 Zn 2.85, 3 Cd 3.01-3.07
Cd 0.4944 0.3138 0.1789 x4  3 Cd 2.97-3.03, 1 Na 3.30

No. 15
Computed, not measured: an optimized crystal structure of Na5ZnCd6 at the PBE level of DFT.

Lattice parameters (Å, degrees): 4.6797 13.8369 9.1072 90.00 90.82 90.00
With the nearest neighbours (Å) after each atom.
Space group C2/m (No. 12)
Unique sites:
Na 0.0000 0.0000 0.0000 x2  8 Cd 3.24-3.36, 4 Na 3.30
Na 0.0000 0.3314 0.0000 x4  4 Na 3.25-3.30, 8 Cd 3.31-3.36
Na 0.0000 0.3372 0.5000 x4  8 Cd 3.12-3.29, 2 Zn 3.25, 2 Na 3.36
Zn 0.0000 0.0000 0.5000 x2  8 Cd 3.10-3.22, 4 Na 3.25
Cd 0.0003 0.1592 0.2604 x8  1 Zn 3.10, 7 Na 3.18-3.36, 4 Cd 3.21-3.43
Cd 0.0028 0.5000 0.2628 x4  6 Na 3.12-3.36, 2 Zn 3.15-3.22, 4 Cd 3.21-3.22

No. 16
Computed, not measured: an optimized crystal structure of NaZnCd6 at the PBE level of DFT.

Lattice parameters (Å, degrees): 4.5198 4.5198 9.8402 90.00 90.00 90.00
With the nearest neighbours (Å) after each atom.
Space group P4/mmm (No. 123)
Unique sites:
Na 0.0000 0.0000 0.0000 x1  8 Cd 3.48
Zn 0.0000 0.0000 0.5000 x1  8 Cd 2.79
Cd 0.0000 0.5000 0.3339 x4  2 Zn 2.79, 2 Cd 2.96
Cd 0.5000 0.5000 0.1400 x2  5 Cd 2.75-2.96

No. 17
Computed, not measured: an optimized crystal structure of NaZnCd at the PBE level of DFT.

Lattice parameters (Å, degrees): 11.4184 4.5464 5.7164 90.00 102.20 90.00
With the nearest neighbours (Å) after each atom.
Space group C2/m (No. 12)
Unique sites:
Na 0.1069 0.0000 0.3034 x4  4 Zn 3.04-3.27, 5 Cd 3.24-3.40
Zn 0.2250 0.0000 0.8744 x4  2 Zn 2.69, 3 Cd 2.76-2.79
Cd 0.0965 0.5000 0.7087 x4  3 Zn 2.76-2.79, 1 Cd 2.89

The calculation puts the energy relative to the lowest polymorph listed for this composition at 13.3 kJ/mol of formula units.

No. 18
Computed, not measured: an optimized crystal structure of NaZnCd2 at the PBE level of DFT.

Lattice parameters (Å, degrees): 7.0313 7.0313 7.0313 90.00 90.00 90.00
With the nearest neighbours (Å) after each atom.
Space group F-43m (No. 216)
Unique sites:
Na 0.0000 0.0000 0.0000 x4  4 Cd 3.04, 4 Zn 3.04
Zn 0.2500 0.2500 0.7500 x4  4 Cd 3.04, 4 Na 3.04
Cd 0.0000 0.0000 0.5000 x4  4 Zn 3.04, 4 Cd 3.04
Cd 0.2500 0.2500 0.2500 x4  4 Cd 3.04, 4 Na 3.04

No. 19
Computed, not measured: an optimized crystal structure of Na3Zn2Cd7 at the PBE level of DFT.

Lattice parameters (Å, degrees): 5.9941 5.9941 27.8115 90.00 90.00 120.00
With the nearest neighbours (Å) after each atom.
Space group R-3m (No. 166, hexagonal axes)
Unique sites:
Na 0.0000 0.0000 0.0000 x3  6 Zn 3.46, 12 Cd 3.74
Na 0.0000 0.0000 0.1434 x6  12 Cd 3.47-3.52, 3 Na 3.69
Zn 0.0000 0.0000 0.3340 x6  6 Cd 2.83
Cd 0.0000 0.0000 0.5000 x3  6 Cd 2.97
Cd 0.0043 0.5022 0.9196 x18  2 Zn 2.83, 5 Cd 2.96-3.04

No. 20
Computed, not measured: an optimized crystal structure of Na6ZnCd5 at the PBE level of DFT.

Lattice parameters (Å, degrees): 10.5443 13.9188 4.6437 90.00 115.91 90.00
With the nearest neighbours (Å) after each atom.
Space group C2/m (No. 12)
Unique sites:
Na 0.2425 0.0000 0.2422 x4  6 Cd 3.26-3.38, 2 Zn 3.26-3.27, 4 Na 3.27
Na 0.2467 0.1654 0.7465 x8  4 Na 3.27-3.31, 1 Zn 3.28, 7 Cd 3.29-3.36
Zn 0.0000 0.0000 0.5000 x2  8 Na 3.26-3.28, 4 Cd 3.27
Cd 0.0000 0.1655 0.0000 x4  8 Na 3.26-3.36, 2 Zn 3.27, 2 Cd 3.31
Cd 0.0000 0.3353 0.5000 x4  4 Cd 3.26-3.31, 8 Na 3.33-3.35
Cd 0.0000 0.5000 0.0000 x2  4 Cd 3.26, 8 Na 3.33-3.38

No. 21
Computed, not measured: an optimized crystal structure of NaZnCd4 at the PBE level of DFT.

Lattice parameters (Å, degrees): 8.3184 8.3184 8.3184 90.00 90.00 90.00
With the nearest neighbours (Å) after each atom.
Space group F-43m (No. 216)
Unique sites:
Na 0.0000 0.0000 0.0000 x4  12 Cd 3.45, 4 Zn 3.60
Zn 0.2500 0.2500 0.7500 x4  12 Cd 3.45, 4 Na 3.60
Cd 0.1250 0.1250 0.3750 x16  6 Cd 2.94

The calculation puts the energy relative to the lowest polymorph listed for this composition at 64.5 kJ/mol of formula units.

No. 22
Computed, not measured: an optimized crystal structure of NaZn3Cd3 at the PBE level of DFT.

Lattice parameters (Å, degrees): 7.5099 7.5099 7.5099 90.00 90.00 90.00
With the nearest neighbours (Å) after each atom.
Space group Pm-3n (No. 223)
Unique sites:
Na 0.0000 0.0000 0.0000 x2  12 Cd 4.20, 12 Zn 4.20
Zn 0.0000 0.2500 0.5000 x6  4 Cd 2.66
Cd 0.0000 0.5000 0.2500 x6  4 Zn 2.66

No. 23
Computed, not measured: an optimized crystal structure of NaZnCd2 at the PBE level of DFT.

Lattice parameters (Å, degrees): 4.3951 4.3951 20.4948 90.00 90.00 90.00
With the nearest neighbours (Å) after each atom.
Space group I-42d (No. 122)
Unique sites:
Na 0.0000 0.0000 0.0000 x4  4 Cd 3.03, 4 Zn 3.11
Zn 0.0000 0.0000 0.5000 x4  4 Cd 2.97, 4 Na 3.11
Cd 0.2326 0.2500 0.6250 x8  2 Zn 2.97, 4 Cd 3.00-3.22, 2 Na 3.03

no.,energy (eV per atom),DOS(E_F) (states/eV per atom)
1,-3.006,1.47
2,-1.842,0.53
3,-2.599,0.72
4,-1.098,0.36
5,-1.209,0.45
6,-1.094,0.50
7,-1.101,0.27
8,-1.234,0.22
9,-1.210,0.45
10,-1.207,0.33
11,-1.148,0.27
12,-0.927,0.51
13,-1.236,0.52
14,-1.226,0.45
15,-1.159,0.39
16,-1.000,0.54
17,-1.188,0.34
18,-1.114,0.43
19,-1.125,0.45
20,-1.186,0.41
21,-0.970,0.59
22,-0.851,0.38
23,-0.994,0.41